[1]
The following is a PBE-GGA calculation of a relaxed Pu5IrRu4 crystal, from the Alexandria database.

Structure (CIF):
```
data_Pu5IrRu4
_space_group_name_H-M_alt 'P 1'
_space_group_IT_number 1
_space_group_name_Hall 'P 1'
_cell_length_a 3.385
_cell_length_b 3.385
_cell_length_c 17.003
_cell_angle_alpha 90.00
_cell_angle_beta 90.00
_cell_angle_gamma 90.00
loop_
_atom_site_label
_atom_site_type_symbol
_atom_site_fract_x
_atom_site_fract_y
_atom_site_fract_z
_atom_site_occupancy
Ru1 Ru 0.000 0.000 0.600 1
Ru2 Ru 0.000 0.000 0.204 1
Ru3 Ru 0.000 0.000 0.400 1
Ru4 Ru 0.000 0.000 0.796 1
Pu1 Pu 0.500 0.500 0.699 1
Pu2 Pu 0.500 0.500 0.301 1
Pu3 Pu 0.500 0.500 0.100 1
Pu4 Pu 0.500 0.500 0.500 1
Pu5 Pu 0.500 0.500 0.900 1
Ir1 Ir 0.000 0.000 0.000 1
```

## Properties
* uncorrected energy: -11.9113 eV per atom
* DOS(E_F): 3.45 states/eV per atom
* symmetry: No. 123

=====

[2]
The following is a PBE-GGA calculation of a relaxed Pu2Ir3Ru crystal, from the Alexandria database.

Structure (CIF):
```
data_Pu2Ir3Ru
_space_group_name_H-M_alt 'P 1'
_space_group_IT_number 1
_space_group_name_Hall 'P 1'
_cell_length_a 5.358
_cell_length_b 5.358
_cell_length_c 5.337
_cell_angle_alpha 89.99
_cell_angle_beta 120.15
_cell_angle_gamma 119.98
loop_
_atom_site_label
_atom_site_type_symbol
_atom_site_fract_x
_atom_site_fract_y
_atom_site_fract_z
_atom_site_occupancy
Ir1 Ir 0.500 0.500 0.500 1
Ir2 Ir 0.000 0.000 0.500 1
Ir3 Ir 0.500 0.000 0.500 1
Pu1 Pu 0.750 0.375 0.125 1
Pu2 Pu 0.250 0.625 0.875 1
Ru1 Ru 0.000 0.000 0.000 1
```

## Properties
* uncorrected energy: -11.2355 eV per atom
* DOS(E_F): 2.49 states/eV per atom
* symmetry: No. 166

=====

[3]
The following is a PBE-GGA calculation of a relaxed Pu6IrRu2 crystal, from the Alexandria database.

Structure (CIF):
```
data_Pu6IrRu2
_space_group_name_H-M_alt 'P 1'
_space_group_IT_number 1
_space_group_name_Hall 'P 1'
_cell_length_a 2.821
_cell_length_b 7.754
_cell_length_c 7.754
_cell_angle_alpha 120.00
_cell_angle_beta 90.00
_cell_angle_gamma 90.00
loop_
_atom_site_label
_atom_site_type_symbol
_atom_site_fract_x
_atom_site_fract_y
_atom_site_fract_z
_atom_site_occupancy
Ir1 Ir 0.500 0.000 0.000 1
Pu1 Pu 0.913 0.658 0.000 1
Pu2 Pu 0.913 0.342 0.342 1
Pu3 Pu 0.087 0.342 0.000 1
Pu4 Pu 0.087 0.000 0.342 1
Pu5 Pu 0.913 0.000 0.658 1
Pu6 Pu 0.087 0.658 0.658 1
Ru1 Ru 0.500 0.667 0.333 1
Ru2 Ru 0.500 0.333 0.667 1
```

## Properties
* excess energy over the best structure of this formula in the dataset: 125 meV per atom
* symmetry: No. 162

=====

[4]
The following is a PBE-GGA calculation of a relaxed Pu6IrRu2 crystal, from the Alexandria database.

Structure (CIF):
```
data_Pu6IrRu2
_space_group_name_H-M_alt 'P 1'
_space_group_IT_number 1
_space_group_name_Hall 'P 1'
_cell_length_a 4.868
_cell_length_b 5.536
_cell_length_c 8.192
_cell_angle_alpha 115.78
_cell_angle_beta 90.00
_cell_angle_gamma 116.08
loop_
_atom_site_label
_atom_site_type_symbol
_atom_site_fract_x
_atom_site_fract_y
_atom_site_fract_z
_atom_site_occupancy
Ir1 Ir 0.000 0.000 0.500 1
Ru1 Ru 0.360 0.720 0.310 1
Ru2 Ru 0.640 0.280 0.690 1
Pu1 Pu 0.699 0.397 0.074 1
Pu2 Pu 0.034 0.067 0.193 1
Pu3 Pu 0.966 0.933 0.807 1
Pu4 Pu 0.301 0.603 0.926 1
Pu5 Pu 0.660 0.321 0.362 1
Pu6 Pu 0.340 0.679 0.638 1
```

## Properties
* DOS(E_F): 3.33 states/eV per atom
* excess energy over the best structure of this formula in the dataset: 0 meV per atom
* symmetry: No. 12

=====

[5]
The following is a PBE-GGA calculation of a relaxed Pu3IrRu2 crystal, from the Alexandria database.

Structure (CIF):
```
data_Pu3IrRu2
_space_group_name_H-M_alt 'P 1'
_space_group_IT_number 1
_space_group_name_Hall 'P 1'
_cell_length_a 3.380
_cell_length_b 4.808
_cell_length_c 14.479
_cell_angle_alpha 90.00
_cell_angle_beta 90.00
_cell_angle_gamma 90.00
loop_
_atom_site_label
_atom_site_type_symbol
_atom_site_fract_x
_atom_site_fract_y
_atom_site_fract_z
_atom_site_occupancy
Pu1 Pu 0.499 0.000 0.500 1
Pu2 Pu 0.500 0.500 0.334 1
Pu3 Pu 0.500 0.000 0.834 1
Pu4 Pu 0.500 0.500 0.666 1
Pu5 Pu 0.500 0.000 0.166 1
Pu6 Pu 0.501 0.500 0.000 1
Ru1 Ru 0.000 0.500 0.171 1
Ru2 Ru 0.000 0.500 0.829 1
Ru3 Ru 0.000 0.000 0.671 1
Ru4 Ru 0.000 0.000 0.329 1
Ir1 Ir 0.999 0.500 0.500 1
Ir2 Ir 0.001 0.000 0.000 1
```

## Properties
* DOS(E_F): 2.90 states/eV per atom
* excess energy over the best structure of this formula in the dataset: 2 meV per atom
* symmetry: No. 65

=====

[6]
The following is a PBE-GGA calculation of a relaxed Pu4Ir2Ru crystal, from the Alexandria database.

Structure (CIF):
```
data_Pu4Ir2Ru
_space_group_name_H-M_alt 'P 1'
_space_group_IT_number 1
_space_group_name_Hall 'P 1'
_cell_length_a 7.329
_cell_length_b 7.329
_cell_length_c 7.329
_cell_angle_alpha 110.03
_cell_angle_beta 108.37
_cell_angle_gamma 110.03
loop_
_atom_site_label
_atom_site_type_symbol
_atom_site_fract_x
_atom_site_fract_y
_atom_site_fract_z
_atom_site_occupancy
Pu1 Pu 0.125 0.387 0.371 1
Pu2 Pu 0.121 0.887 0.375 1
Pu3 Pu 0.262 0.246 0.875 1
Pu4 Pu 0.625 0.746 0.512 1
Pu5 Pu 0.984 0.613 0.738 1
Pu6 Pu 0.488 0.113 0.234 1
Pu7 Pu 0.629 0.754 0.016 1
Pu8 Pu 0.766 0.254 0.879 1
Ir1 Ir 0.875 0.128 0.503 1
Ir2 Ir 0.253 0.628 0.125 1
Ir3 Ir 0.375 0.872 0.747 1
Ir4 Ir 0.497 0.372 0.625 1
Ru1 Ru 0.000 0.000 0.000 1
Ru2 Ru 0.750 0.500 0.250 1
```

## Properties
* uncorrected energy: -12.3700 eV per atom
* DOS(E_F): 3.50 states/eV per atom
* symmetry: No. 122

=====

[7]
The following is a PBE-GGA calculation of a relaxed PuIr2Ru crystal, from the Alexandria database.

Structure (CIF):
```
data_PuIr2Ru
_space_group_name_H-M_alt 'P 1'
_space_group_IT_number 1
_space_group_name_Hall 'P 1'
_cell_length_a 4.116
_cell_length_b 3.991
_cell_length_c 3.991
_cell_angle_alpha 90.00
_cell_angle_beta 90.00
_cell_angle_gamma 90.00
loop_
_atom_site_label
_atom_site_type_symbol
_atom_site_fract_x
_atom_site_fract_y
_atom_site_fract_z
_atom_site_occupancy
Ir1 Ir 0.000 0.000 0.500 1
Ir2 Ir 0.000 0.500 0.000 1
Pu1 Pu 0.500 0.000 0.000 1
Ru1 Ru 0.500 0.500 0.500 1
```

## Properties
* uncorrected energy: -10.5945 eV per atom
* DOS(E_F): 2.65 states/eV per atom
* symmetry: No. 123

=====

[8]
The following is a PBE-GGA calculation of a relaxed Pu3IrRu2 crystal, from the Alexandria database.

Structure (CIF):
```
data_Pu3IrRu2
_space_group_name_H-M_alt 'P 1'
_space_group_IT_number 1
_space_group_name_Hall 'P 1'
_cell_length_a 4.799
_cell_length_b 4.799
_cell_length_c 5.900
_cell_angle_alpha 90.00
_cell_angle_beta 90.00
_cell_angle_gamma 120.00
loop_
_atom_site_label
_atom_site_type_symbol
_atom_site_fract_x
_atom_site_fract_y
_atom_site_fract_z
_atom_site_occupancy
Pu1 Pu 0.333 0.667 0.164 1
Pu2 Pu 0.667 0.333 0.836 1
Pu3 Pu 0.000 0.000 0.500 1
Ru1 Ru 0.333 0.667 0.651 1
Ru2 Ru 0.667 0.333 0.349 1
Ir1 Ir 0.000 0.000 0.000 1
```

## Properties
* DOS(E_F): 2.97 states/eV per atom
* excess energy over the best structure of this formula in the dataset: 0 meV per atom
* symmetry: No. 164

=====

[9]
The following is a PBE-GGA calculation of a relaxed Pu6IrRu5 crystal, from the Alexandria database.

Structure (CIF):
```
data_Pu6IrRu5
_space_group_name_H-M_alt 'P 1'
_space_group_IT_number 1
_space_group_name_Hall 'P 1'
_cell_length_a 4.746
_cell_length_b 8.303
_cell_length_c 8.303
_cell_angle_alpha 119.65
_cell_angle_beta 106.67
_cell_angle_gamma 106.67
loop_
_atom_site_label
_atom_site_type_symbol
_atom_site_fract_x
_atom_site_fract_y
_atom_site_fract_z
_atom_site_occupancy
Ru1 Ru 0.500 0.829 0.171 1
Ru2 Ru 0.500 0.171 0.829 1
Ru3 Ru 0.000 0.666 0.334 1
Ru4 Ru 0.000 0.334 0.666 1
Ru5 Ru 0.500 0.500 0.500 1
Pu1 Pu 0.750 0.584 0.917 1
Pu2 Pu 0.750 0.917 0.584 1
Pu3 Pu 0.251 0.751 0.751 1
Pu4 Pu 0.250 0.416 0.083 1
Pu5 Pu 0.250 0.083 0.416 1
Pu6 Pu 0.749 0.249 0.249 1
Ir1 Ir 0.000 0.000 0.000 1
```

## Properties
* uncorrected energy: -11.9613 eV per atom
* DOS(E_F): 2.78 states/eV per atom
* symmetry: No. 12

=====

[10]
The following is a PBE-GGA calculation of a relaxed Pu6IrRu crystal, from the Alexandria database.

Structure (CIF):
```
data_Pu6IrRu
_space_group_name_H-M_alt 'P 1'
_space_group_IT_number 1
_space_group_name_Hall 'P 1'
_cell_length_a 6.823
_cell_length_b 5.707
_cell_length_c 4.808
_cell_angle_alpha 122.90
_cell_angle_beta 85.11
_cell_angle_gamma 85.99
loop_
_atom_site_label
_atom_site_type_symbol
_atom_site_fract_x
_atom_site_fract_y
_atom_site_fract_z
_atom_site_occupancy
Pu1 Pu 0.745 0.126 0.625 1
Pu2 Pu 0.586 0.851 0.095 1
Pu3 Pu 0.246 0.459 0.509 1
Pu4 Pu 0.754 0.541 0.491 1
Pu5 Pu 0.255 0.874 0.375 1
Pu6 Pu 0.414 0.149 0.905 1
Ru1 Ru 0.000 0.500 0.000 1
Ir1 Ir 0.000 0.000 0.000 1
```

## Properties
* uncorrected energy: -13.1068 eV per atom
* DOS(E_F): 2.89 states/eV per atom
* symmetry: No. 2

=====

[11]
The following is a PBE-GGA calculation of a relaxed PuIrRu2 crystal, from the Alexandria database.

Structure (CIF):
```
data_PuIrRu2
_space_group_name_H-M_alt 'P 1'
_space_group_IT_number 1
_space_group_name_Hall 'P 1'
_cell_length_a 3.918
_cell_length_b 4.069
_cell_length_c 4.069
_cell_angle_alpha 90.00
_cell_angle_beta 90.00
_cell_angle_gamma 90.00
loop_
_atom_site_label
_atom_site_type_symbol
_atom_site_fract_x
_atom_site_fract_y
_atom_site_fract_z
_atom_site_occupancy
Pu1 Pu 0.500 0.000 0.000 1
Ru1 Ru 0.000 0.000 0.500 1
Ru2 Ru 0.000 0.500 0.000 1
Ir1 Ir 0.500 0.500 0.500 1
```

## Properties
* uncorrected energy: -10.5730 eV per atom
* DOS(E_F): 2.56 states/eV per atom
* symmetry: No. 123

=====

[12]
The following is a PBE-GGA calculation of a relaxed Pu2Si6IrRu crystal, from the Alexandria database.

Structure (CIF):
```
data_Pu2Si6IrRu
_space_group_name_H-M_alt 'P 1'
_space_group_IT_number 1
_space_group_name_Hall 'P 1'
_cell_length_a 6.556
_cell_length_b 6.556
_cell_length_c 6.556
_cell_angle_alpha 60.00
_cell_angle_beta 60.00
_cell_angle_gamma 90.00
loop_
_atom_site_label
_atom_site_type_symbol
_atom_site_fract_x
_atom_site_fract_y
_atom_site_fract_z
_atom_site_occupancy
Si1 Si 0.251 0.251 0.497 1
Si2 Si 0.749 0.251 0.000 1
Si3 Si 0.749 0.749 0.503 1
Si4 Si 0.251 0.251 0.000 1
Si5 Si 0.251 0.749 0.000 1
Si6 Si 0.749 0.749 0.000 1
Pu1 Pu 0.750 0.250 0.500 1
Pu2 Pu 0.250 0.750 0.500 1
Ir1 Ir 0.000 0.000 0.000 1
Ru1 Ru 0.500 0.500 0.000 1
```

## Properties
* ΔE_f (raw): 120 meV/atom
* DOS(E_F): 2.50 states/eV per atom
* symmetry: No. 225